(1)
DFT (SCAN) results for a PBEsol-optimized structure of TaAlZn2.

Properties
DOS at the Fermi energy	0.722	states/eV/atom
DFT total energy	-25.328	eV/atom
formation energy	1.3	kJ/mol of atoms

abc: 2.859 2.859 9.048
angles: 80.91 80.91 60.00
Fractional positions:
1 Zn 0.251 0.251 0.246
2 Zn 0.997 0.997 0.009
3 Al 0.502 0.502 0.493
4 Ta 0.750 0.750 0.751



(2)
DFT (SCAN) results for a PBEsol-optimized structure of Ga2Hg2Bi.

Properties
DOS at the Fermi energy	0.406	states/eV/atom
DFT total energy	-49.352	eV/atom
formation energy	16.3	kJ/mol of atoms

abc: 3.244 8.408 8.408
angles: 90.00 90.00 90.00
Fractional positions:
1 Ga 0.500 0.127 0.627
2 Ga 0.500 0.627 0.873
3 Ga 0.500 0.873 0.373
4 Ga 0.500 0.373 0.127
5 Hg 0.000 0.832 0.668
6 Hg 0.000 0.168 0.332
7 Hg 0.000 0.668 0.168
8 Hg 0.000 0.332 0.832
9 Bi 0.000 0.000 0.000
10 Bi 0.000 0.500 0.500



(3)
DFT (SCAN) results for a PBEsol-optimized structure of CuTe2HI.

Properties
DOS at the Fermi energy	0.294	states/eV/atom
DFT total energy	-25.466	eV/atom

abc: 4.183 4.183 7.407
angles: 90.00 90.00 90.00
Fractional positions:
1 I 0.000 0.000 0.500
2 Cu 0.500 0.500 0.500
3 Te 0.500 0.000 0.000
4 Te 0.000 0.500 0.000
5 H 0.000 0.000 0.000